[1]
PrPaCo10 | Alexandria | PBE | relaxed; magnetization = 0.997 μB per atom; volume = 13.98 A^3/atom; ΔH_f (0 K) = -0.1066 eV/atom; crystal system = orthorhombic
1.0
4.0150 0.0000 0.0000
0.0000 4.8895 0.0000
0.0000 0.0000 8.5478
Pr Pa Co
1 1 10
Cartesian
0.0000 0.0000 0.0000 Pr
0.0000 2.4447 4.2739 Pa
0.0000 0.0000 2.9452 Co
0.0000 0.0000 5.6026 Co
0.0000 2.4447 1.6779 Co
0.0000 2.4447 6.8699 Co
2.0075 0.0000 4.2739 Co
2.0075 1.2139 2.1567 Co
2.0075 1.2139 6.3911 Co
2.0075 2.4447 0.0000 Co
2.0075 3.6756 2.1567 Co
2.0075 3.6756 6.3911 Co



[2]
Pr2PaCo | Alexandria | PBE | relaxed; magnetization = 0.000 μB per atom; volume = 26.76 A^3/atom; ΔH_f (0 K) = 0.4800 eV/atom; crystal system = trigonal
1.0
1.7116 0.9882 10.5455
-1.7116 0.9882 10.5455
0.0000 -1.9764 10.5455
Pr Pa Co
2 1 1
Cartesian
0.0000 0.0000 3.3556 Pr
0.0000 0.0000 28.2810 Pr
0.0000 0.0000 0.0000 Pa
0.0000 0.0000 15.8183 Co



[3]
PaCoPt2 | Alexandria | PBE | relaxed; magnetization = 0.000 μB per atom; volume = 16.80 A^3/atom; ΔH_f (0 K) = -0.8037 eV/atom; crystal system = tetragonal
1.0
3.9827 0.0000 0.0000
0.0000 3.9827 0.0000
0.0000 0.0000 4.2368
Pa Co Pt
1 1 2
Cartesian
0.0000 0.0000 0.0000 Pa
1.9914 1.9914 0.0000 Co
0.0000 1.9914 2.1184 Pt
1.9914 0.0000 2.1184 Pt



[4]
Pa2Co2Pt | Alexandria | PBE | relaxed; magnetization = 0.000 μB per atom; volume = 17.67 A^3/atom; ΔH_f (0 K) = -0.6770 eV/atom; crystal system = tetragonal; polymorph energy (0 for the lowest one) = 0 meV/atom
1.0
7.1235 0.0000 0.0000
0.0000 7.1235 0.0000
0.0000 0.0000 3.4817
Pa Co Pt
4 4 2
Cartesian
1.2605 2.3013 0.0000 Pa
2.3013 5.8631 0.0000 Pa
4.8222 1.2605 0.0000 Pa
5.8631 4.8222 0.0000 Pa
0.9301 4.4919 1.7408 Co
2.6317 0.9301 1.7408 Co
4.4919 6.1934 1.7408 Co
6.1934 2.6317 1.7408 Co
0.0000 0.0000 1.7408 Pt
3.5618 3.5618 1.7408 Pt



[5]
Pa3Co3Pt | Alexandria | PBE | relaxed; magnetization = 0.000 μB per atom; volume = 17.95 A^3/atom; ΔH_f (0 K) = -0.5281 eV/atom; crystal system = orthorhombic
1.0
1.8537 -5.0273 0.0000
1.8537 5.0273 0.0000
0.0000 0.0000 13.4830
Pa Co Pt
6 6 2
Cartesian
1.8537 4.4516 10.1123 Pa
1.8537 1.7533 8.0962 Pa
1.8537 1.7533 12.1283 Pa
1.8537 -1.7533 1.3547 Pa
1.8537 -1.7533 5.3868 Pa
1.8537 -4.4516 3.3708 Pa
1.8537 2.9801 3.3708 Co
1.8537 1.2220 1.5108 Co
1.8537 1.2220 5.2307 Co
1.8537 -1.2220 8.2523 Co
1.8537 -1.2220 11.9722 Co
1.8537 -2.9801 10.1123 Co
0.0000 0.0000 0.0000 Pt
0.0000 0.0000 6.7415 Pt



[6]
Pa6Co2Pt | Alexandria | PBE | relaxed; magnetization = 0.000 μB per atom; volume = 20.89 A^3/atom; ΔH_f (0 K) = -0.2553 eV/atom; crystal system = orthorhombic
1.0
-3.7476 4.8588 5.1626
3.7476 -4.8588 5.1626
3.7476 4.8588 -5.1626
Pa Co Pt
12 4 2
Cartesian
3.7476 2.8609 -2.5780 Pa
2.0007 0.0000 2.0959 Pa
5.4946 0.0000 2.0959 Pa
1.6075 2.7965 0.0000 Pa
2.1401 -2.0622 5.1626 Pa
0.0000 1.9979 2.5846 Pa
3.7476 2.8609 2.5780 Pa
1.6075 6.9210 0.0000 Pa
2.1401 2.0622 5.1626 Pa
-1.7469 4.8588 3.0667 Pa
1.7469 4.8588 3.0667 Pa
0.0000 1.9979 7.7406 Pa
3.7476 1.3211 0.0000 Co
3.7476 0.0000 3.8909 Co
0.0000 4.8588 1.2717 Co
0.0000 3.5377 5.1626 Co
0.0000 0.0000 0.0000 Pt
0.0000 0.0000 5.1626 Pt